# 1
# SiTcI3

A geometry-optimized SiTcI3 structure (PBE-GGA, the Alexandria database).

abc: 5.628 5.628 5.628
angles: 90.00 90.00 90.00
Space group Pm-3m (No. 221)
One atom of each set of equivalent atoms:
Si: 0.000 0.000 0.000 x1
Tc: 0.500 0.500 0.500 x1
I: 0.000 0.000 0.500 x3

Calculated values
Mass density ... 4.722 g/cm3
V ... 178 Å³ per cell
Fermi-level density of states ... 9.44 states/eV per cell
Raw formation energy ... 0.9726 eV/atom
Magnetization ... 5.48 μB/f.u.



# 2
# Ta2InCl

A geometry-optimized Ta2InCl structure (PBE-GGA, the Alexandria database).

abc: 3.0197 3.0197 27.8669
angles: 90.00 90.00 120.00
Space group R-3m (No. 166, hexagonal axes)
One atom of each set of equivalent atoms:
Ta: 0.0000 0.0000 0.2437 x6
In: 0.0000 0.0000 0.0000 x3
Cl: 0.0000 0.0000 0.5000 x3

Calculated values
Mass density ... 11.594 g/cm3
V ... 220 Å³ per cell
Fermi-level density of states ... 3.46 states/eV per cell
Raw formation energy ... 0.2183 eV/atom
Magnetization ... 0.00 μB/f.u.



# 3
# Ho9Sc4In11

A geometry-optimized Ho9Sc4In11 structure (PBE-GGA, the Alexandria database).

abc: 17.569 20.592 3.379
angles: 90.00 90.00 90.00
Space group Cmmm (No. 65)
One atom of each set of equivalent atoms:
Ho: 0.000 0.000 0.000 x2
Ho: 0.115 0.242 0.000 x8
Ho: 0.124 0.414 0.000 x8
Sc: 0.148 0.083 0.000 x8
In: 0.000 0.136 0.500 x4
In: 0.000 0.334 0.500 x4
In: 0.000 0.500 0.500 x2
In: 0.244 0.500 0.500 x4
In: 0.246 0.326 0.500 x8

Calculated values
Mass density ... 7.952 g/cm3
V ... 1222 Å³ per cell
Fermi-level density of states ... 41.63 states/eV per cell
Formation enthalpy at 0 K ... -0.3716 eV/atom
Magnetization ... 0.36 μB/f.u.



# 4
# Ca2Co3NiAs4

A geometry-optimized Ca2Co3NiAs4 structure (PBE-GGA, the Alexandria database).

abc: 4.117 4.117 9.586
angles: 90.00 90.00 90.00
Space group P-4m2 (No. 115)
One atom of each set of equivalent atoms:
Ca: 0.000 0.500 0.248 x2
Co: 0.000 0.500 0.881 x2
Co: 0.500 0.500 0.500 x1
Ni: 0.000 0.000 0.500 x1
As: 0.000 0.000 0.000 x1
As: 0.000 0.500 0.636 x2
As: 0.500 0.500 0.000 x1

Calculated values
Mass density ... 6.288 g/cm3
V ... 163 Å³ per cell
Fermi-level density of states ... 6.25 states/eV per cell
Formation enthalpy at 0 K ... -0.5859 eV/atom
Magnetization ... 1.12 μB/f.u.



# 5
# RbSr2Os2

A geometry-optimized RbSr2Os2 structure (PBE-GGA, the Alexandria database).

abc: 9.317 9.317 3.293
angles: 90.00 90.00 90.00
Space group P4/mbm (No. 127)
One atom of each set of equivalent atoms:
Rb: 0.000 0.000 0.000 x2
Sr: 0.187 0.313 0.000 x4
Os: 0.088 0.588 0.500 x4

Calculated values
Mass density ... 7.448 g/cm3
V ... 286 Å³ per cell
Fermi-level density of states ... 7.11 states/eV per cell
Formation enthalpy at 0 K ... 0.9350 eV/atom
Magnetization ... 1.42 μB/f.u.



# 6
# Ta3Nb7W2

A geometry-optimized Ta3Nb7W2 structure (PBE-GGA, the Alexandria database).

abc: 4.568 21.928 4.686
angles: 90.00 90.00 90.00
Space group Cmmm (No. 65)
One atom of each set of equivalent atoms:
Ta: 0.000 0.000 0.000 x2
Ta: 0.000 0.151 0.000 x4
Nb: 0.000 0.077 0.500 x4
Nb: 0.000 0.219 0.500 x4
Nb: 0.000 0.423 0.000 x4
Nb: 0.000 0.500 0.500 x2
W: 0.000 0.354 0.500 x4

Calculated values
Mass density ... 11.045 g/cm3
V ... 469 Å³ per cell
Fermi-level density of states ... 29.63 states/eV per cell
Formation enthalpy at 0 K ... 0.4573 eV/atom
Magnetization ... 0.00 μB/f.u.



# 7
# MgCS3

A geometry-optimized MgCS3 structure (PBE-GGA, the Alexandria database).

abc: 4.196 4.196 4.196
angles: 90.00 90.00 90.00
Space group Pm-3m (No. 221)
One atom of each set of equivalent atoms:
Mg: 0.000 0.000 0.000 x1
C: 0.500 0.500 0.500 x1
S: 0.000 0.500 0.500 x3

Calculated values
Mass density ... 2.979 g/cm3
V ... 74 Å³ per cell
Fermi-level density of states ... 2.50 states/eV per cell
Raw formation energy ... 0.7114 eV/atom
Magnetization ... 0.00 μB/f.u.



# 8
# Tl3PIr

A geometry-optimized Tl3PIr structure (PBE-GGA, the Alexandria database).

abc: 5.208 5.208 5.208
angles: 90.00 90.00 90.00
Space group Pm-3m (No. 221)
One atom of each set of equivalent atoms:
Tl: 0.000 0.000 0.500 x3
P: 0.000 0.000 0.000 x1
Ir: 0.500 0.500 0.500 x1

Calculated values
Mass density ... 9.833 g/cm3
V ... 141 Å³ per cell
Fermi-level density of states ... 5.11 states/eV per cell
Formation enthalpy at 0 K ... 1.1252 eV/atom
Magnetization ... 0.56 μB/f.u.



What did we get for E? Answer: -3.115 -6.854 -4.399 -5.556 -4.423 -10.539 -3.929 -3.149 eV per atom, in the order shown.